Model i:
The following is a DFT calculation (GGA-PBE) of a relaxed Al2GaO4 crystal.

abc: 4.3348 4.3348 4.7998
angles: 90.00 90.00 90.00
Positions (direct):
O1 0.2446 0.2446 0.3011
Al1 0.5000 0.0000 0.5000
O2 0.7554 0.2446 0.6989
O3 0.7554 0.7554 0.3011
Al2 0.0000 0.5000 0.5000
O4 0.2446 0.7554 0.6989
Ga1 0.0000 0.0000 0.0000

Output
V   90.19 Å³/cell
M_tot   0.0007 μB/atom

---

Model ii:
The following is a DFT calculation (GGA-PBE) of a relaxed Al2GaO4 crystal.

abc: 2.8495 4.9427 5.8622
angles: 108.02 104.07 90.00
Positions (direct):
O1 0.3384 0.6632 0.6768
Al1 0.2660 0.2637 0.5320
Ga1 0.0000 0.0000 0.0000
O2 0.8467 0.1440 0.6934
Al2 0.7340 0.7363 0.4680
O3 0.1533 0.8560 0.3066
O4 0.6616 0.3368 0.3232

Output
V   75.91 Å³/cell
M_tot   0.0000 μB/atom

---

Most stable: model ii (next structure +4.0 kJ/mol of atoms)